(1)
ZnNi12Ge3: optimized geometry, PBE-GGA. Values from VASP.

Quantum ESPRESSO input file:
```
&SYSTEM
  ibrav = 0, nat = 16, ntyp = 3
/
ATOMIC_SPECIES
Zn 65.41 Zn.upf
Ni 58.69 Ni.upf
Ge 72.64 Ge.upf
CELL_PARAMETERS angstrom
3.5754 0.0000 0.0000
0.0000 3.5754 0.0000
0.0000 0.0000 14.3284
ATOMIC_POSITIONS crystal
Zn 0.0000 0.0000 0.0000
Ni 0.0000 0.5000 0.1260
Ni 0.0000 0.5000 0.3750
Ni 0.0000 0.5000 0.6250
Ni 0.0000 0.5000 0.8740
Ni 0.5000 0.0000 0.1260
Ni 0.5000 0.0000 0.3750
Ni 0.5000 0.0000 0.6250
Ni 0.5000 0.0000 0.8740
Ni 0.5000 0.5000 0.0000
Ni 0.5000 0.5000 0.2515
Ni 0.5000 0.5000 0.5000
Ni 0.5000 0.5000 0.7485
Ge 0.0000 0.0000 0.2481
Ge 0.0000 0.0000 0.5000
Ge 0.0000 0.0000 0.7519
```

## Properties
Total moment in μB/cell: 1.82



(2)
FeAs3Rh: optimized geometry, PBE-GGA. Values from VASP.

Quantum ESPRESSO input file:
```
&SYSTEM
  ibrav = 0, nat = 5, ntyp = 3
/
ATOMIC_SPECIES
Fe 55.84 Fe.upf
As 74.92 As.upf
Rh 102.91 Rh.upf
CELL_PARAMETERS angstrom
4.4850 0.0000 0.0000
0.0000 4.4850 0.0000
0.0000 0.0000 4.4850
ATOMIC_POSITIONS crystal
Fe 0.0000 0.0000 0.0000
As 0.0000 0.0000 0.5000
As 0.0000 0.5000 0.0000
As 0.5000 0.0000 0.0000
Rh 0.5000 0.5000 0.5000
```

## Properties
Total moment in μB/cell: 0.56
ΔE to the lowest computed polymorph in eV/atom: 0.0000



(3)
Pm2TcGe2: optimized geometry, PBE-GGA. Values from VASP.

Quantum ESPRESSO input file:
```
&SYSTEM
  ibrav = 0, nat = 10, ntyp = 3
/
ATOMIC_SPECIES
Pm 145.00 Pm.upf
Tc 98.00 Tc.upf
Ge 72.64 Ge.upf
CELL_PARAMETERS angstrom
-3.2321 6.1653 3.0956
3.2321 -6.1653 3.0956
3.2321 6.1653 -3.0956
ATOMIC_POSITIONS crystal
Pm 0.1424 0.2004 0.3428
Pm 0.3576 0.7004 0.0580
Pm 0.6424 0.2996 0.9420
Pm 0.8576 0.7996 0.6572
Tc 0.2500 0.7500 0.5000
Tc 0.7500 0.2500 0.5000
Ge 0.1060 0.7285 0.8345
Ge 0.3940 0.2285 0.6226
Ge 0.6060 0.7715 0.3774
Ge 0.8940 0.2715 0.1655
```

## Properties
Total moment in μB/cell: 0.00



(4)
TiNbOs: optimized geometry, PBE-GGA. Values from VASP.

Quantum ESPRESSO input file:
```
&SYSTEM
  ibrav = 0, nat = 6, ntyp = 3
/
ATOMIC_SPECIES
Ti 47.87 Ti.upf
Nb 92.91 Nb.upf
Os 190.23 Os.upf
CELL_PARAMETERS angstrom
1.5725 -6.8558 0.0000
1.5725 6.8558 0.0000
0.0000 0.0000 4.4406
ATOMIC_POSITIONS crystal
Ti 0.0775 0.9225 0.7500
Ti 0.9225 0.0775 0.2500
Nb 0.2459 0.7541 0.2500
Nb 0.7541 0.2459 0.7500
Os 0.4191 0.5809 0.7500
Os 0.5809 0.4191 0.2500
```

## Properties
Total moment in μB/cell: 0.00
ΔE to the lowest computed polymorph in eV/atom: 0.0000



(5)
La8ZnCo2: optimized geometry, PBE-GGA. Values from VASP.

Quantum ESPRESSO input file:
```
&SYSTEM
  ibrav = 0, nat = 11, ntyp = 3
/
ATOMIC_SPECIES
La 138.91 La.upf
Zn 65.41 Zn.upf
Co 58.93 Co.upf
CELL_PARAMETERS angstrom
4.0726 -6.7706 0.0000
4.0726 6.7706 0.0000
-1.5337 0.0000 6.0054
ATOMIC_POSITIONS crystal
La 0.0000 0.0000 0.0000
La 0.0358 0.2998 0.6181
La 0.1952 0.6472 0.2212
La 0.2998 0.0358 0.6181
La 0.4757 0.7551 0.8273
La 0.6472 0.1952 0.2212
La 0.7534 0.7534 0.4031
La 0.7551 0.4757 0.8273
Zn 0.3832 0.3832 0.0531
Co 0.0561 0.6537 0.6797
Co 0.6537 0.0561 0.6797
```

## Properties
Total moment in μB/cell: 0.00



(6)
Li2TcPb: optimized geometry, PBE-GGA. Values from VASP.

Quantum ESPRESSO input file:
```
&SYSTEM
  ibrav = 0, nat = 4, ntyp = 3
/
ATOMIC_SPECIES
Li 6.94 Li.upf
Tc 98.00 Tc.upf
Pb 207.20 Pb.upf
CELL_PARAMETERS angstrom
-1.9800 1.9800 4.4006
1.9800 -1.9800 4.4006
1.9800 1.9800 -4.4006
ATOMIC_POSITIONS crystal
Li 0.2500 0.7500 0.5000
Li 0.7500 0.2500 0.5000
Tc 0.0000 0.0000 0.0000
Pb 0.5000 0.5000 0.0000
```

## Properties
Total moment in μB/cell: 0.98



| no. | calculated formation energy (eV/atom) |
| --- | --- |
| 1 | -0.239 |
| 2 | 0.516 |
| 3 | -0.517 |
| 4 | -0.470 |
| 5 | -0.023 |
| 6 | 0.290 |